1.
A relaxed HfPaIn crystal. Source: the Alexandria database, functional PBE.

Geometry as POSCAR:
```
HfPaIn
1.0
5.2046 0.0000 0.0000
-2.6023 4.5073 0.0000
0.0000 0.0000 3.1032
Hf Pa In
1 1 1
Cartesian
0.0000 0.0000 0.0000
0.0000 3.0049 1.5516
2.6023 1.5024 0.0000
```

Summary:
**Energy relative to the elements**: 132 meV per atom



2.
A relaxed HfPaTiIn crystal. Source: the Alexandria database, functional PBE.

Geometry as POSCAR:
```
HfPaTiIn
1.0
0.0000 3.4941 3.4941
3.4941 0.0000 3.4941
3.4941 3.4941 0.0000
Hf Pa Ti In
1 1 1 1
Cartesian
0.0000 0.0000 0.0000
5.2411 5.2411 5.2411
3.4941 3.4941 3.4941
1.7470 1.7470 1.7470
```

Summary:
**Energy relative to the elements**: 76 meV per atom



3.
A relaxed HfInPb3 crystal. Source: the Alexandria database, functional PBE.

Geometry as POSCAR:
```
HfInPb3
1.0
5.6156 0.0000 0.0000
0.0000 5.6156 0.0000
0.0000 0.0000 5.6156
Hf In Pb
1 1 3
Cartesian
0.0000 0.0000 0.0000
2.8078 2.8078 2.8078
0.0000 2.8078 2.8078
2.8078 0.0000 2.8078
2.8078 2.8078 0.0000
```

Summary:
**Energy relative to the elements**: 1061 meV per atom